No. 1
The following is a PBE calculation of an optimized crystal structure of KBaCdAs, from the Alexandria database.

Geometry as POSCAR:
```
KBaCdAs
1.0
0.000 4.062 4.062
4.062 0.000 4.062
4.062 4.062 0.000
K Ba Cd As
1 1 1 1
Cartesian
0.000 0.000 0.000
4.062 4.062 4.062
2.031 2.031 2.031
6.093 6.093 6.093
```

Computed properties:
Its total magnetization is 0.0 μB per formula unit. As for the space group: F-43m. The formation energy comes out at -0.485 eV per atom. The calculation puts the total energy at -2.631 eV per atom.

---

No. 2
The following is a PBE calculation of an optimized crystal structure of TbPm3Tm8, from the Alexandria database.

Geometry as POSCAR:
```
TbPm3Tm8
1.0
-3.189 5.603 5.665
3.189 -5.603 5.665
3.189 5.603 -5.665
Tb Pm Tm
1 3 8
Cartesian
0.000 0.000 0.000
3.189 0.000 2.804
0.000 0.000 5.665
0.000 5.603 2.861
3.189 3.701 -2.837
1.602 2.769 0.000
4.775 2.769 0.000
0.000 1.902 2.828
3.189 3.701 2.837
-1.586 2.834 5.665
1.586 2.834 5.665
0.000 1.902 8.501
```

Computed properties:
Its total magnetization is 0.0 μB per formula unit. As for the space group: Immm. The formation energy comes out at 0.298 eV per atom. The calculation puts the total energy at -4.256 eV per atom.